Entry 1:
CsLiSi: optimized geometry, PBE.

a = 3.9918 Å, b = 5.2109 Å, c = 11.6814 Å
α = 83.24°, β = 88.55°, γ = 90.00°
With the nearest neighbours (Å) after each atom.
Sites, in units of the cell vectors:
Cs1 0.2279 0.3004 0.2932  3 Si 3.66-3.93, 2 Cs 3.99
Cs2 0.7721 0.6996 0.7068  3 Si 3.66-3.93, 2 Cs 3.99
Li1 0.2548 0.1353 0.9354  4 Si 2.64-2.65, 2 Li 2.78
Li2 0.7452 0.8647 0.0646  4 Si 2.64-2.65, 2 Li 2.78
Si1 0.2521 0.6251 0.9719  2 Si 2.43, 4 Li 2.64-2.65
Si2 0.7479 0.3749 0.0281  2 Si 2.43, 4 Li 2.64-2.65

Calculated values
Magnetization = 0.000 μB/atom
E above lowest polymorph = 0.000 eV per atom
Crystal system = triclinic
N(E_F) = 2.16 states/eV per cell
Symmetry = P-1 (2)
Mass density = 2.31 g/cm3

***

Entry 2:
CsMoIN2: optimized geometry, PBE.

a = 4.3468 Å, b = 4.3468 Å, c = 5.6389 Å
α = 90.00°, β = 90.00°, γ = 90.00°
With the nearest neighbours (Å) after each atom.
Sites, in units of the cell vectors:
Cs1 0.0000 0.0000 0.0000  4 I 3.07
Mo1 0.5000 0.5000 0.5000  4 N 2.17
I1 0.5000 0.5000 0.0000  2 Mo 2.82, 4 Cs 3.07
N1 0.0000 0.5000 0.5000  2 Mo 2.17
N2 0.5000 0.0000 0.5000  2 Mo 2.17

Calculated values
Magnetization = 0.032 μB/atom
E above lowest polymorph = 0.000 eV per atom
Crystal system = tetragonal
N(E_F) = 3.89 states/eV per cell
Symmetry = P4/mmm (123)
Mass density = 5.98 g/cm3

***

Entry 3:
LaYAs2: optimized geometry, PBE.

a = 4.5004 Å, b = 4.0154 Å, c = 11.6310 Å
α = 90.00°, β = 90.00°, γ = 90.00°
With the nearest neighbours (Å) after each atom.
Sites, in units of the cell vectors:
La1 0.0000 0.0000 0.0000  5 As 3.02-3.05
La2 0.0000 0.5000 0.5000  5 As 3.02-3.05
Y1 0.5000 0.0000 0.7463  5 As 2.86-3.02
Y2 0.5000 0.5000 0.2463  5 As 2.86-3.02
As1 0.0000 0.0000 0.2620  4 Y 3.02, 1 La 3.05
As2 0.0000 0.5000 0.7620  4 Y 3.02, 1 La 3.05
As3 0.5000 0.0000 0.5003  1 Y 2.86, 4 La 3.02
As4 0.5000 0.5000 0.0003  1 Y 2.86, 4 La 3.02

Calculated values
Magnetization = 0.000 μB/atom
E above lowest polymorph = 0.219 eV per atom
Crystal system = orthorhombic
N(E_F) = 0.76 states/eV per cell
Symmetry = Amm2 (38)
Mass density = 5.97 g/cm3
Calculated formation energy = -1.34 eV/atom

***

Entry 4:
HoU4Ga15: optimized geometry, PBE.

a = 4.2537 Å, b = 4.2537 Å, c = 21.4081 Å
α = 90.00°, β = 90.00°, γ = 90.00°
With the nearest neighbours (Å) after each atom.
Sites, in units of the cell vectors:
Ho1 0.0000 0.0000 0.0000  12 Ga 3.01-3.02
U1 0.0000 0.0000 0.1995  12 Ga 3.01-3.02
U2 0.0000 0.0000 0.4001  12 Ga 3.01-3.02
U3 0.0000 0.0000 0.5999  12 Ga 3.01-3.02
U4 0.0000 0.0000 0.8005  12 Ga 3.01-3.02
Ga1 0.0000 0.5000 0.1003  2 U 3.01, 8 Ga 3.01-3.02, 2 Ho 3.02
Ga2 0.0000 0.5000 0.3000  8 Ga 3.01-3.02, 4 U 3.02
Ga3 0.0000 0.5000 0.5000  8 Ga 3.01-3.02, 4 U 3.02
Ga4 0.0000 0.5000 0.7000  8 Ga 3.01-3.02, 4 U 3.02
Ga5 0.0000 0.5000 0.8997  2 U 3.01, 8 Ga 3.01-3.02, 2 Ho 3.02
Ga6 0.5000 0.0000 0.1003  2 U 3.01, 8 Ga 3.01-3.02, 2 Ho 3.02
Ga7 0.5000 0.0000 0.3000  8 Ga 3.01-3.02, 4 U 3.02
Ga8 0.5000 0.0000 0.5000  8 Ga 3.01-3.02, 4 U 3.02
Ga9 0.5000 0.0000 0.7000  8 Ga 3.01-3.02, 4 U 3.02
Ga10 0.5000 0.0000 0.8997  2 U 3.01, 8 Ga 3.01-3.02, 2 Ho 3.02
Ga11 0.5000 0.5000 0.0000  4 Ho 3.01, 8 Ga 3.02
Ga12 0.5000 0.5000 0.2004  4 U 3.01, 8 Ga 3.01-3.02
Ga13 0.5000 0.5000 0.3998  4 U 3.01, 8 Ga 3.02
Ga14 0.5000 0.5000 0.6002  4 U 3.01, 8 Ga 3.02
Ga15 0.5000 0.5000 0.7996  4 U 3.01, 8 Ga 3.01-3.02

Calculated values
Magnetization = 0.480 μB/atom
Crystal system = tetragonal
N(E_F) = 19.66 states/eV per cell
Symmetry = P4/mmm (123)
Mass density = 9.27 g/cm3
Calculated formation energy = -0.30 eV/atom

***

Entry 5:
Ge2AsPd6: optimized geometry, PBE.

a = 6.7156 Å, b = 6.7156 Å, c = 3.5913 Å
α = 90.00°, β = 90.00°, γ = 120.00°
With the nearest neighbours (Å) after each atom.
Sites, in units of the cell vectors:
Ge1 0.3333 0.6667 0.0000  9 Pd 2.49-2.74
Ge2 0.6667 0.3333 0.0000  9 Pd 2.49-2.74
As1 0.0000 0.0000 0.5000  9 Pd 2.54-2.64
Pd1 0.0000 0.2683 0.0000  2 Ge 2.49, 2 As 2.54
Pd2 0.0000 0.6063 0.5000  1 As 2.64, 4 Ge 2.74, 6 Pd 2.89-2.95
Pd3 0.2683 0.0000 0.0000  2 Ge 2.49, 2 As 2.54
Pd4 0.3937 0.3937 0.5000  1 As 2.64, 4 Ge 2.74, 6 Pd 2.89-2.95
Pd5 0.6063 0.0000 0.5000  1 As 2.64, 4 Ge 2.74, 6 Pd 2.89-2.95
Pd6 0.7317 0.7317 0.0000  2 Ge 2.49, 2 As 2.54

Calculated values
Magnetization = 0.000 μB/atom
Crystal system = hexagonal
N(E_F) = 0.39 states/eV per cell
Symmetry = P-62m (189)
Mass density = 10.17 g/cm3
Calculated formation energy = -0.48 eV/atom

***

Entry 6:
Ca2TmInCl8: optimized geometry, PBE.

a = 6.3662 Å, b = 8.7002 Å, c = 6.6056 Å
α = 90.00°, β = 90.47°, γ = 90.00°
With the nearest neighbours (Å) after each atom.
Sites, in units of the cell vectors:
Ca1 0.0000 0.2478 0.0000  6 Cl 2.72-2.92
Ca2 0.0000 0.7522 0.0000  6 Cl 2.72-2.92
Tm1 0.5000 0.5000 0.5000  6 Cl 2.60-2.70
In1 0.5000 0.0000 0.5000  6 Cl 3.01-3.13
Cl1 0.2179 0.0000 0.8642  2 Ca 2.72, 1 In 3.01
Cl2 0.2328 0.5000 0.8147  1 Tm 2.70, 2 Ca 2.92
Cl3 0.2716 0.2899 0.3259  1 Tm 2.60, 1 Ca 2.77
Cl4 0.2716 0.7101 0.3259  1 Tm 2.60, 1 Ca 2.77
Cl5 0.7284 0.2899 0.6741  1 Tm 2.60, 1 Ca 2.77
Cl6 0.7284 0.7101 0.6741  1 Tm 2.60, 1 Ca 2.77
Cl7 0.7672 0.5000 0.1853  1 Tm 2.70, 2 Ca 2.92
Cl8 0.7821 0.0000 0.1358  2 Ca 2.72, 1 In 3.01

Calculated values
Magnetization = 0.000 μB/atom
Crystal system = monoclinic
N(E_F) = 0.00 states/eV per cell
Total DFT energy (no corrections) = -50.77 eV per cell
Symmetry = P2/m (10)
Mass density = 2.94 g/cm3

***

Entry 7:
Y4C2I: optimized geometry, PBE.

a = 13.7862 Å, b = 13.7862 Å, c = 13.7862 Å
α = 15.48°, β = 15.48°, γ = 15.48°
With the nearest neighbours (Å) after each atom.
Sites, in units of the cell vectors:
Y1 0.1255 0.1255 0.1255  3 C 2.58
Y2 0.2718 0.2718 0.2718  3 C 2.45
Y3 0.7282 0.7282 0.7282  3 C 2.45
Y4 0.8745 0.8745 0.8745  3 C 2.58
C1 0.4239 0.4239 0.4239  6 Y 2.45-2.58
C2 0.5761 0.5761 0.5761  6 Y 2.45-2.58
I1 0.0000 0.0000 0.0000  6 Y 3.30

Calculated values
Magnetization = 0.131 μB/atom
Crystal system = trigonal
N(E_F) = 4.61 states/eV per cell
Total DFT energy (no corrections) = -49.58 eV per cell
Symmetry = R-3m (166)
Mass density = 5.17 g/cm3

***

Entry 8:
DyHfAl6: optimized geometry, PBE.

a = 4.1717 Å, b = 4.1717 Å, c = 8.3444 Å
α = 90.00°, β = 90.00°, γ = 90.00°
With the nearest neighbours (Å) after each atom.
Sites, in units of the cell vectors:
Dy1 0.0000 0.0000 0.0000  12 Al 2.95-3.00
Hf1 0.0000 0.0000 0.5000  12 Al 2.90-2.95
Al1 0.0000 0.5000 0.2591  2 Hf 2.90, 8 Al 2.90-3.00, 2 Dy 3.00
Al2 0.0000 0.5000 0.7409  8 Al 2.90-3.00, 2 Hf 2.90, 2 Dy 3.00
Al3 0.5000 0.0000 0.2591  2 Hf 2.90, 8 Al 2.90-3.00, 2 Dy 3.00
Al4 0.5000 0.0000 0.7409  8 Al 2.90-3.00, 2 Hf 2.90, 2 Dy 3.00
Al5 0.5000 0.5000 0.0000  4 Dy 2.95, 8 Al 3.00
Al6 0.5000 0.5000 0.5000  8 Al 2.90, 4 Hf 2.95

Calculated values
Magnetization = 0.000 μB/atom
Crystal system = tetragonal
N(E_F) = 3.92 states/eV per cell
Symmetry = P4/mmm (123)
Mass density = 5.75 g/cm3
Calculated formation energy = -0.40 eV/atom

***

Entry 9:
ScFe2W: optimized geometry, PBE.

a = 5.5811 Å, b = 7.9804 Å, c = 2.7142 Å
α = 90.00°, β = 106.45°, γ = 90.00°
With the nearest neighbours (Å) after each atom.
Sites, in units of the cell vectors:
Sc1 0.0000 0.0000 0.0000  4 Fe 2.59, 2 Sc 2.71, 2 W 2.79
Sc2 0.5000 0.5000 0.0000  4 Fe 2.59, 2 Sc 2.71, 2 W 2.79
Fe1 0.2500 0.2500 0.5000  2 Sc 2.59, 2 W 2.59, 4 Fe 2.71-2.79
Fe2 0.2500 0.7500 0.5000  2 W 2.59, 2 Sc 2.59, 4 Fe 2.71-2.79
Fe3 0.7500 0.2500 0.5000  2 Sc 2.59, 2 W 2.59, 4 Fe 2.71-2.79
Fe4 0.7500 0.7500 0.5000  2 Sc 2.59, 2 W 2.59, 4 Fe 2.71-2.79
W1 0.0000 0.5000 0.0000  4 Fe 2.59, 2 W 2.71, 2 Sc 2.79
W2 0.5000 0.0000 0.0000  4 Fe 2.59, 2 W 2.71, 2 Sc 2.79

Calculated values
Magnetization = 0.712 μB/atom
Crystal system = monoclinic
N(E_F) = 8.61 states/eV per cell
Symmetry = C2/m (12)
Mass density = 9.75 g/cm3
Calculated formation energy = 0.20 eV/atom

***

Entry 10:
Sr2CoHg: optimized geometry, PBE.

a = 3.7322 Å, b = 3.7322 Å, c = 8.6889 Å
α = 90.00°, β = 90.00°, γ = 90.00°
With the nearest neighbours (Å) after each atom.
Sites, in units of the cell vectors:
Sr1 0.0000 0.0000 0.0000  1 Co 3.07, 4 Hg 3.35
Sr2 0.5000 0.5000 0.4070  1 Hg 3.10, 4 Co 3.36
Co1 0.0000 0.0000 0.6464  4 Hg 2.83, 1 Sr 3.07
Hg1 0.5000 0.5000 0.7632  4 Co 2.83, 1 Sr 3.10

Calculated values
Magnetization = 0.334 μB/atom
Crystal system = tetragonal
N(E_F) = 5.82 states/eV per cell
Symmetry = P4mm (99)
Mass density = 5.96 g/cm3
Calculated formation energy = 0.17 eV/atom